(1)
NdErGa2Ni2 | PBE | optimized geometry

Its formation energy from the elements is -337 kJ/mol of formula units. The volume comes out at 19.28 Å³ per atom. Its theoretical density is 8160 kg/m3. For the total DFT energy (no corrections), the calculation gives -5.07 eV per atom. The value obtained for the spin magnetization is 0.00 μB per formula unit.

The space group is P-3m1 (No. 164) and the conventional cell measures 4.2939, 4.2939 and 7.2437 Å, with angles of 90.00, 90.00 and 120.00 degrees. The distinct sites, in fractional coordinates, are Nd at (0.0000, 0.0000, 0.0000), Er at (0.0000, 0.0000, 0.5000), Ga at (0.3333, 0.6667, 0.2715) and Ni at (0.3333, 0.6667, 0.7213).

***

(2)
Cs2ZrIn | PBE | optimized geometry

Its formation energy from the elements is 425 kJ/mol of formula units. The volume comes out at 46.20 Å³ per atom. Its theoretical density is 4240 kg/m3. For the total DFT energy (no corrections), the calculation gives -2.15 eV per atom. The value obtained for the spin magnetization is 3.22 μB per formula unit.

The space group is Fm-3m (No. 225) and the conventional cell measures 9.042, 9.042 and 9.042 Å, with angles of 90.00, 90.00 and 90.00 degrees. The distinct sites, in fractional coordinates, are Cs at (0.250, 0.250, 0.250), Zr at (0.000, 0.000, 0.000) and In at (0.000, 0.000, 0.500).

***

(3)
MnCd2Co | PBE | optimized geometry

Its formation energy from the elements is 128 kJ/mol of formula units. The volume comes out at 16.44 Å³ per atom. The calculation puts the energy above the lowest structure with this stoichiometry at 182 meV/atom. Its theoretical density is 8554 kg/m3. For the total DFT energy (no corrections), the calculation gives -4.19 eV per atom. The value obtained for the spin magnetization is 4.84 μB per formula unit.

The space group is C2/m (No. 12) and the conventional cell measures 5.702, 7.884 and 2.925 Å, with angles of 90.00, 90.16 and 90.00 degrees. The distinct sites, in fractional coordinates, are Mn at (0.000, 0.000, 0.000), Cd at (0.250, 0.250, 0.500) and Co at (0.000, 0.500, 0.000).

***

(4)
RbNpSe3 | PBE | optimized geometry

The volume comes out at 34.36 Å³ per atom. The calculation puts the energy above the lowest structure with this stoichiometry at 67 meV/atom. Its theoretical density is 5407 kg/m3. For the total DFT energy (no corrections), the calculation gives -5.88 eV per atom. As for the formation energy (no corrections): -1.004 eV/atom. The value obtained for the spin magnetization is 2.00 μB per formula unit.

The space group is C2/m (No. 12) and the conventional cell measures 13.539, 5.572 and 9.511 Å, with angles of 90.00, 106.75 and 90.00 degrees. The distinct sites, in fractional coordinates, are Rb at (0.114, 0.000, 0.397), Np at (0.129, 0.500, 0.920), Se at (0.083, 0.500, 0.182), Se at (0.133, 0.500, 0.648) and Se at (0.156, 0.000, 0.941).